Record 1
4
Lattice="5.709 0.000 0.000 2.854 4.944 0.000 2.854 1.648 4.661" Properties=species:S:1:pos:R:3 comment="GGA-PBE CsRbBrF, relaxed" magmom_total_mub_per_cell=0.132 polymorph_energy_ev_per_atom=0.121 e_form_raw_ev_per_atom=-2.02 e_tot_ev_per_atom=-3.3584 n_ef_per_ev_cell=0.00 pbc="T T T"
Rb 5.709 3.296 2.331
Cs 0.000 0.000 0.000
F 2.854 1.648 1.165
Br 8.563 4.944 3.496



Record 2
8
Lattice="-1.069 0.279 3.435 0.941 -3.436 0.572 7.435 0.831 4.143" Properties=species:S:1:pos:R:3 comment="GGA-PBE MnCr2Rh, relaxed" magmom_total_mub_per_cell=0.000 polymorph_energy_ev_per_atom=0.647 ef_kj_per_mol_fu=248.1 e_tot_ev_per_atom=-8.2992 n_ef_per_ev_cell=13.80 pbc="T T T"
Cr 5.429 -2.012 6.592
Cr 1.348 -0.058 3.127
Cr 2.274 -1.895 1.950
Cr 5.563 -0.688 4.631
Rh 0.000 0.000 0.000
Rh 3.151 -0.234 4.790
Mn 4.156 -2.092 3.359
Mn -0.064 -1.579 2.003